! TbY7Er12 PBE relaxed; values from VASP
&SYSTEM
  ibrav = 0, nat = 20, ntyp = 3
/
ATOMIC_SPECIES
Tb 158.93 Tb.upf
Y 88.91 Y.upf
Er 167.26 Er.upf
CELL_PARAMETERS angstrom
-5.587 5.587 5.587
5.587 -5.587 5.587
5.587 5.587 -5.587
ATOMIC_POSITIONS crystal
Tb 0.000 0.000 0.000
Y 0.000 0.000 0.500
Y 0.000 0.500 0.000
Y 0.000 0.500 0.500
Y 0.500 0.000 0.000
Y 0.500 0.000 0.500
Y 0.500 0.500 0.000
Y 0.500 0.500 0.500
Er 0.000 0.249 0.751
Er 0.000 0.751 0.249
Er 0.249 0.000 0.751
Er 0.249 0.249 0.498
Er 0.249 0.498 0.249
Er 0.249 0.751 0.000
Er 0.498 0.249 0.249
Er 0.502 0.751 0.751
Er 0.751 0.000 0.249
Er 0.751 0.249 0.000
Er 0.751 0.502 0.751
Er 0.751 0.751 0.502
! E above lowest polymorph = 42.0 kJ per mole of atoms
! crystal system = cubic
! symmetry = Im-3m, No. 229
! energy of formation from the pure elements = 0.75 eV per atom
! spin magnetization = 0.0 μB per cell
! total DFT energy (no corrections) = -0.330 Ry per atom